Computed, not measured: a relaxed Ca2Tl2P crystal at the GGA-PBE level of DFT.

The structure in extended XYZ format:
```
10
Lattice="7.6391 0.0000 0.0000 0.0000 7.6391 0.0000 0.0000 0.0000 4.7783" Properties=species:S:1:pos:R:3 pbc="T T T"
Ca 6.3456 2.5261 2.3892
Ca 1.2935 5.1130 2.3892
Ca 5.1130 6.3456 2.3892
Ca 2.5261 1.2935 2.3892
Tl 2.7506 6.5701 0.0000
Tl 4.8885 1.0690 0.0000
Tl 1.0690 2.7506 0.0000
Tl 6.5701 4.8885 0.0000
P 3.8195 3.8195 0.0000
P 0.0000 0.0000 0.0000
```

Calculated values
The space group is P4/mbm, No. 127. The formation energy comes out at -231 meV per atom.

---

Computed, not measured: a relaxed BaSm2Cu crystal at the GGA-PBE level of DFT.

The structure in extended XYZ format:
```
4
Lattice="-3.1279 -1.4246 -1.3317 0.7090 -3.1756 1.7318 -4.7683 3.1850 7.7926" Properties=species:S:1:pos:R:3 pbc="T T T"
Sm -0.7884 0.5266 1.2884
Sm -3.9799 2.6584 6.5042
Cu -1.2094 -2.3001 0.2001
Ba -3.5936 -0.7076 4.0964
```

Calculated values
The space group is P4/mmm, No. 123. The formation energy comes out at 44 meV per atom.

---

Computed, not measured: a relaxed Mg2ZrTcNi crystal at the GGA-PBE level of DFT.

The structure in extended XYZ format:
```
5
Lattice="4.9677 0.0000 0.0000 0.0000 4.7527 0.0000 0.0000 0.0000 4.9677" Properties=species:S:1:pos:R:3 pbc="T T T"
Tc 0.0000 0.0000 0.0000
Mg 0.0000 0.0000 2.4838
Mg 2.4838 0.0000 0.0000
Zr 0.0000 2.3764 0.0000
Ni 2.4838 2.3764 2.4838
```

Calculated values
The space group is P4/mmm, No. 123. The formation energy comes out at 850 meV per atom.

---

Computed, not measured: a relaxed CrInMo crystal at the GGA-PBE level of DFT.

The structure in extended XYZ format:
```
3
Lattice="4.4450 0.0000 0.0000 -2.2225 3.8495 0.0000 0.0000 0.0000 2.8123" Properties=species:S:1:pos:R:3 pbc="T T T"
Cr 0.0000 0.0000 2.6821
Mo 0.0000 2.5663 2.0795
In 2.2225 1.2832 0.8630
```

Calculated values
The space group is P3m1, No. 156. The formation energy comes out at 384 meV per atom.

---

Computed, not measured: a relaxed Na2SbO crystal at the GGA-PBE level of DFT.

The structure in extended XYZ format:
```
4
Lattice="0.0000 3.4978 3.4978 3.4978 0.0000 3.4978 3.4978 3.4978 0.0000" Properties=species:S:1:pos:R:3 pbc="T T T"
Na 1.7489 1.7489 1.7489
Na 5.2468 5.2468 5.2468
Sb 3.4978 3.4978 3.4978
O 0.0000 0.0000 0.0000
```

Calculated values
The space group is Fm-3m, No. 225. As for the raw formation energy: 0.028 eV/atom.

---

Computed, not measured: a relaxed BaAs2IrPd crystal at the GGA-PBE level of DFT.

The structure in extended XYZ format:
```
5
Lattice="4.2790 0.0000 0.0000 0.0000 4.2790 0.0000 -2.1395 -2.1395 6.1625" Properties=species:S:1:pos:R:3 pbc="T T T"
As 2.1395 2.1395 1.7724
As 0.0000 0.0000 4.3901
Ir 0.0000 2.1395 3.0812
Ba 0.0000 0.0000 0.0000
Pd 2.1395 0.0000 3.0812
```

Calculated values
The space group is I-4m2, No. 119. The formation energy comes out at -630 meV per atom.